[1]
VASP calculation (PBE) on GdZrCoRh after structural relaxation.

As for the total energy: -9.6842 eV per atom. The density of states at the Fermi level is 3.357 states/eV/f.u. Its space group is No. 216. For the total magnetic moment, the calculation gives 6.83 μB per cell. Its energy relative to the elements is -0.413 eV per atom.

Lattice parameters (Å, degrees): 4.7124 4.7124 4.7124 60.00 60.00 60.00
Last column: nearest neighbours and their distance in Å.
Fractional positions:
Gd 0.0000 0.0000 0.0000  4 Co 2.89, 4 Rh 2.89
Zr 0.5000 0.5000 0.5000  4 Co 2.89, 4 Rh 2.89
Co 0.7500 0.7500 0.7500  4 Zr 2.89, 4 Gd 2.89
Rh 0.2500 0.2500 0.2500  4 Gd 2.89, 4 Zr 2.89

---

[2]
VASP calculation (PBE) on SbRhBr2 after structural relaxation.

As for the total energy: -3.5257 eV per atom. The energy above the most stable polymorph in this dataset is 2.48 eV/f.u. The density of states at the Fermi level is 3.545 states/eV/f.u. Its space group is No. 166. Its formation energy from raw total energies is 4.132 kcal/mol of atoms. For the total magnetic moment, the calculation gives 0.00 μB per cell.

Lattice parameters (Å, degrees): 9.0659 9.0659 9.0659 22.90 22.90 22.90
Last column: nearest neighbours and their distance in Å.
Fractional positions:
Sb 0.0000 0.0000 0.0000  6 Br 3.57, 6 Sb 3.60
Rh 0.5000 0.5000 0.5000  6 Br 2.57
Br 0.2238 0.2238 0.2238  3 Rh 2.57
Br 0.7762 0.7762 0.7762  3 Rh 2.57

---

[3]
VASP calculation (PBE) on ErSc2GaRh4 after structural relaxation.

As for the total energy: -7.1453 eV per atom. The density of states at the Fermi level is 2.466 states/eV/f.u. Its space group is No. 166. For the total magnetic moment, the calculation gives 0.00 μB per cell. Its energy relative to the elements is -0.938 eV per atom.

Lattice parameters (Å, degrees): 7.9076 7.9076 7.9076 33.43 33.43 33.43
Last column: nearest neighbours and their distance in Å.
Fractional positions:
Er 0.0000 0.0000 0.0000  8 Rh 2.82-2.83
Sc 0.2436 0.2436 0.2436  7 Rh 2.62-2.80
Sc 0.7564 0.7564 0.7564  7 Rh 2.62-2.80
Ga 0.5000 0.5000 0.5000  8 Rh 2.70-2.77
Rh 0.1266 0.1266 0.1266  4 Sc 2.62-2.75, 3 Ga 2.77, 1 Er 2.83
Rh 0.3796 0.3796 0.3796  1 Ga 2.70, 3 Sc 2.80, 3 Er 2.82
Rh 0.6204 0.6204 0.6204  1 Ga 2.70, 3 Sc 2.80, 3 Er 2.82
Rh 0.8734 0.8734 0.8734  4 Sc 2.62-2.75, 3 Ga 2.77, 1 Er 2.83

---

[4]
VASP calculation (PBE) on Pr2As4Rh5 after structural relaxation.

As for the total energy: -6.6433 eV per atom. The density of states at the Fermi level is 6.943 states/eV/f.u. Its space group is No. 69. For the total magnetic moment, the calculation gives 0.00 μB per cell. Its energy relative to the elements is -0.742 eV per atom.

Lattice parameters (Å, degrees): 8.9648 7.9626 5.7124 80.08 61.04 38.88
Last column: nearest neighbours and their distance in Å.
Fractional positions:
Pr 0.1330 0.1330 0.8670  6 As 3.21-3.41, 10 Rh 3.35-3.48
Pr 0.8670 0.8670 0.1330  6 As 3.21-3.41, 10 Rh 3.35-3.48
As 0.2141 0.5292 0.4708  5 Rh 2.47-2.54
As 0.4708 0.7859 0.2141  5 Rh 2.47-2.54
As 0.5292 0.2141 0.7859  5 Rh 2.47-2.54
As 0.7859 0.4708 0.5292  5 Rh 2.47-2.54
Rh 0.0000 0.0000 0.5000  4 As 2.54, 2 Rh 2.80
Rh 0.2500 0.2500 0.2500  4 As 2.47
Rh 0.5000 0.5000 0.0000  4 As 2.54, 2 Rh 2.80
Rh 0.5000 0.5000 0.5000  4 As 2.47
Rh 0.7500 0.7500 0.7500  4 As 2.47

---

[5]
VASP calculation (PBE) on KSrCu after structural relaxation.

As for the total energy: -2.0541 eV per atom. The energy above the most stable polymorph in this dataset is 0.78 eV/f.u. The density of states at the Fermi level is 0.858 states/eV/f.u. Its space group is No. 216. For the total magnetic moment, the calculation gives 0.00 μB per cell. Its energy relative to the elements is 0.238 eV per atom.

Lattice parameters (Å, degrees): 5.4823 5.4823 5.4823 60.00 60.00 60.00
Last column: nearest neighbours and their distance in Å.
Fractional positions:
K 0.0000 0.0000 0.0000  4 Cu 3.36
Sr 0.5000 0.5000 0.5000  4 Cu 3.36
Cu 0.2500 0.2500 0.2500  4 K 3.36, 4 Sr 3.36

---

[6]
VASP calculation (PBE) on Nd2Tm5Tl after structural relaxation.

As for the total energy: -4.3455 eV per atom. The energy above the most stable polymorph in this dataset is 0.00 eV/f.u. The density of states at the Fermi level is 9.312 states/eV/f.u. Its space group is No. 8. For the total magnetic moment, the calculation gives 0.00 μB per cell. Its energy relative to the elements is -0.063 eV per atom.

Lattice parameters (Å, degrees): 6.6239 6.6239 8.2698 124.62 124.62 64.53
Last column: nearest neighbours and their distance in Å.
Fractional positions:
Nd 0.0000 0.0000 0.0000  10 Tm 3.35-3.62, 1 Tl 3.40, 1 Nd 3.55
Nd 0.1122 0.1122 0.6881  9 Tm 3.42-3.65, 2 Tl 3.54, 1 Nd 3.55
Tm 0.0206 0.5220 0.5073  2 Tl 3.41-3.44, 6 Tm 3.46-3.57, 4 Nd 3.48-3.58
Tm 0.1173 0.5952 0.1742  4 Nd 3.35-3.65, 2 Tl 3.37-3.71, 6 Tm 3.38-3.69
Tm 0.5220 0.0206 0.5073  2 Tl 3.41-3.44, 6 Tm 3.46-3.57, 4 Nd 3.48-3.58
Tm 0.5352 0.5352 0.0010  1 Tl 3.35, 8 Tm 3.39-3.58, 3 Nd 3.56
Tm 0.5952 0.1173 0.1742  4 Nd 3.35-3.65, 2 Tl 3.37-3.71, 6 Tm 3.38-3.69
Tl 0.5904 0.5904 0.6495  9 Tm 3.35-3.71, 3 Nd 3.40-3.54

---

[7]
VASP calculation (PBE) on Ce2PrHgC after structural relaxation.

As for the total energy: -5.4457 eV per atom. The density of states at the Fermi level is 10.284 states/eV/f.u. Its space group is No. 123. For the total magnetic moment, the calculation gives 0.79 μB per cell. Its energy relative to the elements is -0.211 eV per atom.

Lattice parameters (Å, degrees): 4.9242 4.9242 5.2228 90.00 90.00 90.00
Last column: nearest neighbours and their distance in Å.
Fractional positions:
Ce 0.0000 0.5000 0.0000  2 C 2.46
Ce 0.5000 0.0000 0.0000  2 C 2.46
Pr 0.0000 0.0000 0.5000  2 C 2.61
Hg 0.5000 0.5000 0.5000  4 Pr 3.48, 8 Ce 3.59
C 0.0000 0.0000 0.0000  4 Ce 2.46, 2 Pr 2.61

---

[8]
VASP calculation (PBE) on CePr6SmEr2 after structural relaxation.

As for the total energy: -4.6141 eV per atom. The density of states at the Fermi level is 22.720 states/eV/f.u. Its space group is No. 12. For the total magnetic moment, the calculation gives 1.23 μB per cell. Its energy relative to the elements is 0.232 eV per atom.

Lattice parameters (Å, degrees): 6.6728 6.6728 8.9351 100.37 100.37 64.36
Last column: nearest neighbours and their distance in Å.
Fractional positions:
Ce 0.0000 0.0000 0.0000  6 Pr 3.45-3.73
Pr 0.0977 0.5653 0.2019  2 Er 3.24-3.49, 1 Pr 3.32, 1 Sm 3.36, 1 Ce 3.45
Pr 0.1314 0.1314 0.4203  5 Pr 3.56-3.81, 1 Ce 3.73, 2 Sm 3.97
Pr 0.4347 0.9023 0.7981  2 Er 3.24-3.49, 1 Pr 3.32, 1 Sm 3.36, 1 Ce 3.45
Pr 0.5653 0.0977 0.2019  2 Er 3.24-3.49, 1 Pr 3.32, 1 Sm 3.36, 1 Ce 3.45
Pr 0.8686 0.8686 0.5797  5 Pr 3.56-3.81, 1 Ce 3.73, 2 Sm 3.97
Pr 0.9023 0.4347 0.7981  2 Er 3.24-3.49, 1 Pr 3.32, 1 Sm 3.36, 1 Ce 3.45
Sm 0.5000 0.5000 0.5000  4 Pr 3.36, 2 Er 3.45
Er 0.4061 0.4061 0.8428  1 Er 3.14, 4 Pr 3.24-3.49, 1 Sm 3.45
Er 0.5939 0.5939 0.1572  1 Er 3.14, 4 Pr 3.24-3.49, 1 Sm 3.45

---

[9]
VASP calculation (PBE) on La11Tl9Zn4 after structural relaxation.

As for the total energy: -3.7365 eV per atom. The density of states at the Fermi level is 26.441 states/eV/f.u. Its space group is No. 65. For the total magnetic moment, the calculation gives 0.75 μB per cell. Its energy relative to the elements is -0.378 eV per atom.

Lattice parameters (Å, degrees): 13.9338 13.9338 3.9366 90.00 90.00 112.55
Last column: nearest neighbours and their distance in Å.
Fractional positions:
La 0.0000 0.0000 0.0000  8 Tl 3.41, 2 La 3.78
La 0.0678 0.4141 0.0000  2 Zn 3.12, 4 Tl 3.39-3.42
La 0.1633 0.8367 0.0000  8 Tl 3.45-3.62, 3 La 3.73-3.78
La 0.2976 0.2976 0.0000  4 Zn 3.13
La 0.3669 0.6331 0.0000  4 Zn 3.13
La 0.4141 0.0678 0.0000  2 Zn 3.12, 4 Tl 3.39-3.42
La 0.5859 0.9322 0.0000  2 Zn 3.12, 4 Tl 3.39-3.42
La 0.6331 0.3669 0.0000  4 Zn 3.13
La 0.7024 0.7024 0.0000  4 Zn 3.13
La 0.8367 0.1633 0.0000  8 Tl 3.45-3.62, 3 La 3.73-3.78
La 0.9322 0.5859 0.0000  2 Zn 3.12, 4 Tl 3.39-3.42
Tl 0.0693 0.2162 0.5000  1 Zn 3.28, 8 La 3.39-3.62, 1 Tl 3.41
Tl 0.1566 0.6313 0.5000  1 Zn 3.28, 1 Tl 3.28, 8 La 3.42-3.54
Tl 0.2162 0.0693 0.5000  1 Zn 3.28, 8 La 3.39-3.62, 1 Tl 3.41
Tl 0.3687 0.8434 0.5000  1 Zn 3.28, 1 Tl 3.28, 8 La 3.42-3.54
Tl 0.5000 0.5000 0.5000  4 Zn 3.25
Tl 0.6313 0.1566 0.5000  1 Zn 3.28, 1 Tl 3.28, 8 La 3.42-3.54
Tl 0.7838 0.9307 0.5000  1 Zn 3.28, 8 La 3.39-3.62, 1 Tl 3.41
Tl 0.8434 0.3687 0.5000  1 Zn 3.28, 1 Tl 3.28, 8 La 3.42-3.54
Tl 0.9307 0.7838 0.5000  1 Zn 3.28, 8 La 3.39-3.62, 1 Tl 3.41
Zn 0.2524 0.4499 0.5000  6 La 3.12-3.13, 3 Tl 3.25-3.28
Zn 0.4499 0.2524 0.5000  6 La 3.12-3.13, 3 Tl 3.25-3.28
Zn 0.5501 0.7476 0.5000  6 La 3.12-3.13, 3 Tl 3.25-3.28
Zn 0.7476 0.5501 0.5000  6 La 3.12-3.13, 3 Tl 3.25-3.28

---

[10]
VASP calculation (PBE) on ScGe2PtC after structural relaxation.

As for the total energy: -4.8036 eV per atom. The density of states at the Fermi level is 3.320 states/eV/f.u. Its space group is No. 123. For the total magnetic moment, the calculation gives 0.00 μB per cell. Its energy relative to the elements is 1.363 eV per atom.

Lattice parameters (Å, degrees): 5.1219 5.1219 3.9618 90.00 90.00 90.00
Last column: nearest neighbours and their distance in Å.
Fractional positions:
Sc 0.0000 0.0000 0.0000  2 C 1.98
Ge 0.0000 0.5000 0.0000  2 Sc 2.56
Ge 0.5000 0.0000 0.0000  2 Sc 2.56
Pt 0.5000 0.5000 0.5000  8 Ge 3.24, 4 C 3.62
C 0.0000 0.0000 0.5000  2 Sc 1.98

---

[11]
VASP calculation (PBE) on Pm6PrDy2Tm after structural relaxation.

As for the total energy: -4.5810 eV per atom. The density of states at the Fermi level is 14.009 states/eV/f.u. Its space group is No. 15. For the total magnetic moment, the calculation gives 0.00 μB per cell. Its energy relative to the elements is 0.115 eV per atom.

Lattice parameters (Å, degrees): 8.9321 8.9321 9.6356 93.50 93.50 117.42
Last column: nearest neighbours and their distance in Å.
Fractional positions:
Pm 0.0090 0.5628 0.1866  3 Pm 3.28-3.67, 1 Dy 3.46, 1 Tm 3.47, 1 Pr 3.61
Pm 0.1195 0.7577 0.5552  7 Pm 3.46-3.79, 1 Dy 3.55, 2 Pr 3.70-3.86
Pm 0.2423 0.8805 0.9448  7 Pm 3.46-3.79, 1 Dy 3.55, 2 Pr 3.70-3.86
Pm 0.2922 0.5121 0.3826  4 Pm 3.28-3.60, 3 Dy 3.30-3.48, 2 Tm 3.45-3.56
Pm 0.4372 0.9910 0.3134  3 Pm 3.28-3.67, 1 Dy 3.46, 1 Tm 3.47, 1 Pr 3.61
Pm 0.4879 0.7078 0.1174  4 Pm 3.28-3.60, 3 Dy 3.30-3.48, 2 Tm 3.45-3.56
Pm 0.5121 0.2922 0.8826  4 Pm 3.28-3.60, 3 Dy 3.30-3.48, 2 Tm 3.45-3.56
Pm 0.5628 0.0090 0.6866  3 Pm 3.28-3.67, 1 Dy 3.46, 1 Tm 3.47, 1 Pr 3.61
Pm 0.7078 0.4879 0.6174  4 Pm 3.28-3.60, 3 Dy 3.30-3.48, 2 Tm 3.45-3.56
Pm 0.7577 0.1195 0.0552  7 Pm 3.46-3.79, 1 Dy 3.55, 2 Pr 3.70-3.86
Pm 0.8805 0.2423 0.4448  7 Pm 3.46-3.79, 1 Dy 3.55, 2 Pr 3.70-3.86
Pm 0.9910 0.4372 0.8134  3 Pm 3.28-3.67, 1 Dy 3.46, 1 Tm 3.47, 1 Pr 3.61
Pr 0.0269 0.9731 0.2500  4 Dy 3.44-3.50, 4 Pm 3.61-3.70
Pr 0.9731 0.0269 0.7500  4 Dy 3.44-3.50, 4 Pm 3.61-3.70
Dy 0.2032 0.3036 0.0475  5 Pm 3.30-3.55, 2 Pr 3.44-3.50, 1 Tm 3.53
Dy 0.3036 0.2032 0.5475  5 Pm 3.30-3.55, 2 Pr 3.44-3.50, 1 Tm 3.53
Dy 0.6964 0.7968 0.4525  5 Pm 3.30-3.55, 2 Pr 3.44-3.50, 1 Tm 3.53
Dy 0.7968 0.6964 0.9525  5 Pm 3.30-3.55, 2 Pr 3.44-3.50, 1 Tm 3.53
Tm 0.4116 0.5884 0.7500  6 Pm 3.45-3.56, 2 Dy 3.53
Tm 0.5884 0.4116 0.2500  6 Pm 3.45-3.56, 2 Dy 3.53

---

[12]
VASP calculation (PBE) on Y6Si2PS3 after structural relaxation.

As for the total energy: -7.1865 eV per atom. The density of states at the Fermi level is 2.251 states/eV/f.u. Its space group is No. 12. Its formation energy from raw total energies is -36.157 kcal/mol of atoms. For the total magnetic moment, the calculation gives 0.00 μB per cell.

Lattice parameters (Å, degrees): 8.9910 8.9910 8.0519 102.94 102.94 25.82
Last column: nearest neighbours and their distance in Å.
Fractional positions:
Y 0.0022 0.0022 0.2450  1 Si 2.81, 2 P 2.81, 3 S 2.86-2.88
Y 0.3334 0.3334 0.4183  3 Si 2.84, 3 S 2.84-2.86
Y 0.3352 0.3352 0.9142  1 P 2.81, 2 Si 2.82, 3 S 2.85-2.90
Y 0.6648 0.6648 0.0858  1 P 2.81, 2 Si 2.82, 3 S 2.85-2.90
Y 0.6666 0.6666 0.5817  3 Si 2.84, 3 S 2.84-2.86
Y 0.9978 0.9978 0.7550  1 Si 2.81, 2 P 2.81, 3 S 2.86-2.88
Si 0.1667 0.1667 0.3330  6 Y 2.81-2.84
Si 0.8333 0.8333 0.6670  6 Y 2.81-2.84
P 0.5000 0.5000 0.0000  6 Y 2.81
S 0.1653 0.1653 0.8344  6 Y 2.85-2.90
S 0.5000 0.5000 0.5000  6 Y 2.84-2.88
S 0.8347 0.8347 0.1656  6 Y 2.85-2.90